Record 1
The following is a GGA-PBE calculation of a relaxed Tb2CeBi crystal, from the Alexandria database.

Cell lengths 4.010, 4.010, 7.345 Å; angles 90.00, 90.00, 90.00 degrees
Sites, in units of the cell vectors:
Tb 0.000 0.000 0.230
Tb 0.000 0.000 0.770
Ce 0.500 0.500 0.500
Bi 0.500 0.500 0.000

Calculated values
total energy	-5.0820	eV/atom
total magnetic moment	0.104	μB per atom
polymorph energy (0 for the lowest one)	35	meV per atom
space-group type	P4/mmm
formation energy	-313	meV/atom


Record 2
The following is a GGA-PBE calculation of a relaxed Zn2Ni5Sn crystal, from the Alexandria database.

Cell lengths 7.402, 7.402, 7.402 Å; angles 150.11, 150.11, 42.78 degrees
Sites, in units of the cell vectors:
Zn 0.247 0.247 0.000
Zn 0.753 0.753 0.000
Ni 0.000 0.000 0.000
Ni 0.131 0.631 0.500
Ni 0.369 0.869 0.500
Ni 0.631 0.131 0.500
Ni 0.869 0.369 0.500
Sn 0.500 0.500 0.000

Calculated values
total energy	-4.6298	eV/atom
total magnetic moment	0.000	μB per atom
space-group type	I4/mmm
formation energy	-198	meV/atom


Record 3
The following is a GGA-PBE calculation of a relaxed PmErLu4 crystal, from the Alexandria database.

Cell lengths 6.505, 6.505, 6.505 Å; angles 60.00, 60.00, 60.00 degrees
Sites, in units of the cell vectors:
Pm 0.000 0.000 0.000
Er 0.750 0.750 0.750
Lu 0.375 0.375 0.375
Lu 0.375 0.375 0.874
Lu 0.375 0.874 0.375
Lu 0.874 0.375 0.375

Calculated values
total energy	-4.2829	eV/atom
total magnetic moment	0.292	μB per atom
space-group type	F-43m
formation energy	283	meV/atom


Which of these has the highest formation energy? PmErLu4


The lowest total magnetic moment belongs to which entry? Zn2Ni5Sn


Repeat the third record exactly.
The following is a GGA-PBE calculation of a relaxed PmErLu4 crystal, from the Alexandria database.

Cell lengths 6.505, 6.505, 6.505 Å; angles 60.00, 60.00, 60.00 degrees
Sites, in units of the cell vectors:
Pm 0.000 0.000 0.000
Er 0.750 0.750 0.750
Lu 0.375 0.375 0.375
Lu 0.375 0.375 0.874
Lu 0.375 0.874 0.375
Lu 0.874 0.375 0.375

Calculated values
total energy	-4.2829	eV/atom
total magnetic moment	0.292	μB per atom
space-group type	F-43m
formation energy	283	meV/atom


formation energy of number 3 (PmErLu4)? 283 meV/atom